DFT (PBE-GGA) results for an optimized crystal structure of PrTmLuZr.

Output
N(E_F): 6.8 states/eV/f.u.
Crystal system: cubic
Formation energy from the elements: 19 kJ per mole of atoms
Magnetic moment: 0.767 Bohr magnetons per cell
Electronic total energy: -5.381 eV per atom

Lattice parameters (Å, degrees): 5.4807 5.4807 5.4807 60.00 60.00 60.00
Last column: nearest neighbours and their distance in Å.
Positions (direct):
1 Pr 0.2500 0.2500 0.2500  4 Lu 3.36, 4 Tm 3.36
2 Lu 0.5000 0.5000 0.5000  4 Pr 3.36, 4 Zr 3.36
3 Tm 0.0000 0.0000 0.0000  4 Zr 3.36, 4 Pr 3.36
4 Zr 0.7500 0.7500 0.7500  4 Tm 3.36, 4 Lu 3.36

DFT (PBE-GGA) results for an optimized crystal structure of PrLu2V.

Output
N(E_F): 3.8 states/eV/f.u.
Crystal system: tetragonal
Formation energy from the elements: 17 kJ per mole of atoms
Magnetic moment: 3.310 Bohr magnetons per cell
Electronic total energy: -5.559 eV per atom

Lattice parameters (Å, degrees): 3.5514 3.5514 8.6936 90.00 90.00 90.00
Last column: nearest neighbours and their distance in Å.
Positions (direct):
1 Pr 0.5000 0.5000 0.5000  4 Pr 3.55, 8 Lu 3.66
2 Lu 0.0000 0.0000 0.8064  4 V 3.02, 1 Lu 3.37
3 Lu 0.0000 0.0000 0.1936  4 V 3.02, 1 Lu 3.37
4 V 0.5000 0.5000 0.0000  8 Lu 3.02

DFT (PBE-GGA) results for an optimized crystal structure of PrY2Lu.

Output
N(E_F): 6.1 states/eV/f.u.
Crystal system: tetragonal
Formation energy from the elements: 3 kJ per mole of atoms
Magnetic moment: 0.003 Bohr magnetons per cell
Offset from the most stable computed form: 0.004 eV/atom
Electronic total energy: -5.525 eV per atom

Lattice parameters (Å, degrees): 3.5750 3.5750 10.1851 90.00 90.00 90.00
Last column: nearest neighbours and their distance in Å.
Positions (direct):
1 Pr 0.5000 0.5000 0.5000  4 Pr 3.58, 8 Y 3.65
2 Y 0.0000 0.0000 0.7580  4 Lu 3.53, 4 Y 3.58, 4 Pr 3.65
3 Y 0.0000 0.0000 0.2420  4 Lu 3.53, 4 Y 3.58, 4 Pr 3.65
4 Lu 0.5000 0.5000 0.0000  8 Y 3.53, 4 Lu 3.58

DFT (PBE-GGA) results for an optimized crystal structure of PrYLu.

Output
N(E_F): 5.2 states/eV/f.u.
Crystal system: trigonal
Formation energy from the elements: 7 kJ per mole of atoms
Magnetic moment: 0.000 Bohr magnetons per cell
Offset from the most stable computed form: 0.044 eV/atom
Electronic total energy: -5.180 eV per atom

Lattice parameters (Å, degrees): 3.5202 5.6425 5.6425 120.00 90.00 90.00
Last column: nearest neighbours and their distance in Å.
Positions (direct):
1 Pr 0.1658 0.0000 0.0000  3 Lu 3.26, 2 Pr 3.52
2 Y 0.6665 0.6667 0.3333  2 Y 3.52, 6 Lu 3.70, 6 Pr 3.70
3 Lu 0.1677 0.3333 0.6667  3 Pr 3.26, 2 Lu 3.52

DFT (PBE-GGA) results for an optimized crystal structure of PrY2Lu.

Output
N(E_F): 8.5 states/eV/f.u.
Crystal system: cubic
Formation energy from the elements: 13 kJ per mole of atoms
Magnetic moment: 0.000 Bohr magnetons per cell
Offset from the most stable computed form: 0.103 eV/atom
Electronic total energy: -5.425 eV per atom

Lattice parameters (Å, degrees): 5.7059 5.7059 5.7059 60.00 60.00 60.00
Last column: nearest neighbours and their distance in Å.
Positions (direct):
1 Pr 0.5000 0.5000 0.5000  8 Y 3.49
2 Y 0.2500 0.2500 0.2500  4 Pr 3.49, 4 Lu 3.49
3 Y 0.7500 0.7500 0.7500  4 Pr 3.49, 4 Lu 3.49
4 Lu 0.0000 0.0000 0.0000  8 Y 3.49

DFT (PBE-GGA) results for an optimized crystal structure of PrY2Lu.

Output
N(E_F): 6.2 states/eV/f.u.
Crystal system: trigonal
Formation energy from the elements: 3 kJ per mole of atoms
Magnetic moment: 0.001 Bohr magnetons per cell
Offset from the most stable computed form: 0.000 eV/atom
Electronic total energy: -5.529 eV per atom

Lattice parameters (Å, degrees): 3.5873 3.5873 11.8286 81.28 81.28 60.00
Last column: nearest neighbours and their distance in Å.
Positions (direct):
1 Pr 0.0000 0.0000 0.0000  6 Pr 3.59, 6 Y 3.64
2 Y 0.7522 0.7522 0.7433  3 Lu 3.51, 6 Y 3.59, 3 Pr 3.64
3 Y 0.2478 0.2478 0.2567  3 Lu 3.51, 6 Y 3.59, 3 Pr 3.64
4 Lu 0.5000 0.5000 0.5000  6 Y 3.51, 6 Lu 3.59

> electronic total energy of number 4 (PrYLu)?

-5.180 eV per atom